Rb2InBr6Cl | PBE | optimized geometry

Computed properties:
Magnetic moment ... 0.000 μB per atom
Formation energy from raw total energies ... -0.899 eV/atom
Symmetry ... I4/mmm (139)

Cell and atoms, written as CIF:
```
data_Rb2InBr6Cl
_cell_length_a 8.2060
_cell_length_b 8.2060
_cell_length_c 8.2060
_cell_angle_alpha 123.18
_cell_angle_beta 123.18
_cell_angle_gamma 84.58
_space_group_name_H-M_alt 'P 1'
_space_group_IT_number 1
loop_
_space_group_symop_operation_xyz
'x,y,z'
loop_
_atom_site_label
_atom_site_type_symbol
_atom_site_fract_x
_atom_site_fract_y
_atom_site_fract_z
Rb1 Rb 0.2500 0.7500 0.5000
Rb2 Rb 0.7500 0.2500 0.5000
In1 In 0.0000 0.0000 0.0000
Br1 Br 0.2214 0.2214 0.0000
Br2 Br 0.2454 0.2454 0.4909
Br3 Br 0.2454 0.7546 0.0000
Br4 Br 0.7546 0.2454 0.0000
Br5 Br 0.7546 0.7546 0.5091
Br6 Br 0.7786 0.7786 0.0000
Cl1 Cl 0.5000 0.5000 0.0000
```

---

InReBrCl2 | PBE | optimized geometry

Computed properties:
Magnetic moment ... 0.715 μB per atom
Formation energy from raw total energies ... 0.834 eV/atom
Symmetry ... P4/mmm (123)

Cell and atoms, written as CIF:
```
data_InReBrCl2
_cell_length_a 6.2777
_cell_length_b 6.2777
_cell_length_c 4.5928
_cell_angle_alpha 90.00
_cell_angle_beta 90.00
_cell_angle_gamma 90.00
_space_group_name_H-M_alt 'P 1'
_space_group_IT_number 1
loop_
_space_group_symop_operation_xyz
'x,y,z'
loop_
_atom_site_label
_atom_site_type_symbol
_atom_site_fract_x
_atom_site_fract_y
_atom_site_fract_z
In1 In 0.0000 0.0000 0.0000
Re1 Re 0.5000 0.5000 0.0000
Br1 Br 0.5000 0.5000 0.5000
Cl1 Cl 0.0000 0.5000 0.5000
Cl2 Cl 0.5000 0.0000 0.5000
```

---

InRuBr2Cl | PBE | optimized geometry

Computed properties:
Magnetic moment ... 0.515 μB per atom
Formation energy from raw total energies ... 0.650 eV/atom
Symmetry ... P4/mmm (123)

Cell and atoms, written as CIF:
```
data_InRuBr2Cl
_cell_length_a 5.2620
_cell_length_b 5.2620
_cell_length_c 5.6016
_cell_angle_alpha 90.00
_cell_angle_beta 90.00
_cell_angle_gamma 90.00
_space_group_name_H-M_alt 'P 1'
_space_group_IT_number 1
loop_
_space_group_symop_operation_xyz
'x,y,z'
loop_
_atom_site_label
_atom_site_type_symbol
_atom_site_fract_x
_atom_site_fract_y
_atom_site_fract_z
In1 In 0.0000 0.0000 0.0000
Ru1 Ru 0.0000 0.0000 0.5000
Br1 Br 0.0000 0.5000 0.0000
Br2 Br 0.5000 0.0000 0.0000
Cl1 Cl 0.5000 0.5000 0.5000
```